Entry 1:
A plane-wave DFT calculation with GGA-PBE was carried out for a geometry-optimized LaPrDyHo2 structure.

abc: 7.1871 7.1871 7.2207
angles: 90.00 90.00 107.67
With the nearest neighbours (Å) after each atom.
Atoms (fractional coordinates):
La: 0.2346 0.7654 0.7500  1 Pr 3.08
La: 0.7654 0.2346 0.2500  1 Pr 3.08
Pr: 0.5002 0.4998 0.2500  1 La 3.08, 4 Ho 3.22, 1 Dy 3.28
Pr: 0.4998 0.5002 0.7500  1 La 3.08, 4 Ho 3.22, 1 Dy 3.28
Dy: 0.2179 0.7821 0.2500  1 Pr 3.28, 4 Ho 3.49, 2 La 3.62
Dy: 0.7821 0.2179 0.7500  1 Pr 3.28, 4 Ho 3.49, 2 La 3.62
Ho: 0.1863 0.1863 0.0000  1 Ho 3.16, 2 Pr 3.22, 2 Dy 3.49
Ho: 0.1863 0.1863 0.5000  1 Ho 3.16, 2 Pr 3.22, 2 Dy 3.49
Ho: 0.8137 0.8137 0.0000  1 Ho 3.16, 2 Pr 3.22, 2 Dy 3.49
Ho: 0.8137 0.8137 0.5000  1 Ho 3.16, 2 Pr 3.22, 2 Dy 3.49

Values from the calculation:
DFT formation energy: 355 meV per atom
V: 35.538 A^3/atom
Size of the total moment: 0.0017 μB/atom
Crystal system: orthorhombic


Entry 2:
A plane-wave DFT calculation with GGA-PBE was carried out for a geometry-optimized AlRhBr2 structure.

abc: 3.6310 3.6310 8.1980
angles: 90.00 90.00 119.86
With the nearest neighbours (Å) after each atom.
Atoms (fractional coordinates):
Al: 0.0000 0.0000 0.0000  4 Br 2.97
Rh: 0.0000 0.0000 0.5000  4 Br 2.53
Br: 0.5000 0.5000 0.2860  2 Rh 2.53
Br: 0.5000 0.5000 0.7140  2 Rh 2.53

Values from the calculation:
ΔE_f (raw): 263 meV/atom
V: 23.433 A^3/atom
Size of the total moment: 0.0825 μB/atom
E above lowest polymorph: 638 meV per atom
Crystal system: orthorhombic


Entry 3:
A plane-wave DFT calculation with GGA-PBE was carried out for a geometry-optimized UTeHCl structure.

abc: 7.8193 7.8193 7.8193
angles: 28.82 28.82 28.82
With the nearest neighbours (Å) after each atom.
Atoms (fractional coordinates):
U: 0.0000 0.0000 0.0000  3 H 2.25
Te: 0.2417 0.2417 0.2417  3 H 3.04, 3 U 3.05
H: 0.6665 0.6665 0.6665  3 U 2.25
Cl: 0.4119 0.4119 0.4119  3 U 2.86, 3 H 2.86

Values from the calculation:
V: 24.554 A^3/atom
Size of the total moment: 0.5000 μB/atom
VASP energy: -5.814 eV per atom
Crystal system: trigonal


Entry 4:
A plane-wave DFT calculation with GGA-PBE was carried out for a geometry-optimized Ac2AlTe structure.

abc: 8.8016 8.8016 8.8016
angles: 29.90 29.90 29.90
With the nearest neighbours (Å) after each atom.
Atoms (fractional coordinates):
Ac: 0.2480 0.2480 0.2480  3 Al 3.33, 3 Te 3.39
Ac: 0.7520 0.7520 0.7520  3 Al 3.33, 3 Te 3.39
Al: 0.5000 0.5000 0.5000  6 Ac 3.33
Te: 0.0000 0.0000 0.0000  6 Ac 3.39

Values from the calculation:
ΔE_f (raw): -773 meV/atom
V: 37.506 A^3/atom
Size of the total moment: 0.0000 μB/atom
E above lowest polymorph: 119 meV per atom
Crystal system: trigonal


Entry 5:
A plane-wave DFT calculation with GGA-PBE was carried out for a geometry-optimized MnCuRh3 structure.

abc: 4.4117 4.4117 4.4117
angles: 90.00 90.00 90.00
With the nearest neighbours (Å) after each atom.
Atoms (fractional coordinates):
Mn: 0.0000 0.0000 0.0000  6 Rh 2.21
Cu: 0.5000 0.5000 0.5000  12 Rh 3.12
Rh: 0.0000 0.0000 0.5000  2 Mn 2.21
Rh: 0.0000 0.5000 0.0000  2 Mn 2.21
Rh: 0.5000 0.0000 0.0000  2 Mn 2.21

Values from the calculation:
DFT formation energy: 1022 meV per atom
V: 17.173 A^3/atom
Size of the total moment: 0.0000 μB/atom
E above lowest polymorph: 0 meV per atom
Crystal system: cubic


Entry 6:
A plane-wave DFT calculation with GGA-PBE was carried out for a geometry-optimized Ho3PaAl8 structure.

abc: 5.5104 5.5104 9.1541
angles: 90.00 90.00 120.00
With the nearest neighbours (Å) after each atom.
Atoms (fractional coordinates):
Ho: 0.0000 0.0000 0.0000  12 Al 3.23-3.30, 4 Ho 3.38-3.43
Ho: 0.0000 0.0000 0.3689  12 Al 3.23-3.27, 1 Ho 3.38, 3 Pa 3.40
Ho: 0.3333 0.6667 0.8614  12 Al 3.20-3.35, 1 Pa 3.30, 3 Ho 3.43
Pa: 0.3333 0.6667 0.5014  12 Al 3.22-3.28, 4 Ho 3.30-3.40
Al: 0.0083 0.5041 0.1853  6 Al 2.69-2.82
Al: 0.3267 0.1634 0.6826  6 Al 2.70-2.85
Al: 0.4959 0.5041 0.1853  6 Al 2.69-2.82
Al: 0.4959 0.9917 0.1853  6 Al 2.69-2.82
Al: 0.6667 0.3333 0.4326  6 Al 2.79-2.81
Al: 0.6667 0.3333 0.9390  6 Al 2.78-2.85
Al: 0.8366 0.1634 0.6826  6 Al 2.70-2.85
Al: 0.8366 0.6733 0.6826  6 Al 2.70-2.85

Values from the calculation:
DFT formation energy: -426 meV per atom
V: 20.060 A^3/atom
Size of the total moment: 0.0000 μB/atom
Crystal system: trigonal


Entry 7:
A plane-wave DFT calculation with GGA-PBE was carried out for a geometry-optimized YTlTc3 structure.

abc: 4.9813 4.9813 4.9813
angles: 90.00 90.00 90.00
With the nearest neighbours (Å) after each atom.
Atoms (fractional coordinates):
Y: 0.0000 0.0000 0.0000  12 Tc 3.52
Tl: 0.5000 0.5000 0.5000  6 Tc 2.49
Tc: 0.0000 0.5000 0.5000  2 Tl 2.49
Tc: 0.5000 0.0000 0.5000  2 Tl 2.49
Tc: 0.5000 0.5000 0.0000  2 Tl 2.49

Values from the calculation:
DFT formation energy: 1911 meV per atom
V: 24.720 A^3/atom
Size of the total moment: 0.8848 μB/atom
E above lowest polymorph: 0 meV per atom
Crystal system: cubic


Entry 8:
A plane-wave DFT calculation with GGA-PBE was carried out for a geometry-optimized TaZn2B structure.

abc: 5.3761 5.3761 5.3761
angles: 101.04 101.04 128.11
With the nearest neighbours (Å) after each atom.
Atoms (fractional coordinates):
Ta: 0.0000 0.0000 0.0000  2 B 2.35
Ta: 0.7500 0.2500 0.5000  2 B 2.35
Zn: 0.1936 0.6250 0.0686  2 B 2.19
Zn: 0.3750 0.4436 0.5686  2 B 2.19
Zn: 0.5564 0.1250 0.9314  2 B 2.19
Zn: 0.8750 0.8064 0.4314  2 B 2.19
B: 0.2500 0.7500 0.5000  4 Zn 2.19, 2 Ta 2.35
B: 0.5000 0.5000 0.0000  4 Zn 2.19, 2 Ta 2.35

Values from the calculation:
DFT formation energy: 340 meV per atom
V: 13.743 A^3/atom
Size of the total moment: 0.0000 μB/atom
Crystal system: tetragonal


Entry 9:
A plane-wave DFT calculation with GGA-PBE was carried out for a geometry-optimized ScNbPd structure.

abc: 6.5432 5.6947 4.9610
angles: 75.42 57.38 47.20
With the nearest neighbours (Å) after each atom.
Atoms (fractional coordinates):
Sc: 0.1452 0.1452 0.8548  4 Pd 2.70, 1 Sc 2.92
Sc: 0.8548 0.8548 0.1452  4 Pd 2.70, 1 Sc 2.92
Nb: 0.3436 0.6564 0.3436  1 Nb 2.62
Nb: 0.6564 0.3436 0.6564  1 Nb 2.62
Pd: 0.2500 0.2500 0.2500  2 Pd 2.67, 4 Sc 2.70, 4 Nb 2.95
Pd: 0.7500 0.7500 0.7500  2 Pd 2.67, 4 Sc 2.70, 4 Nb 2.95

Values from the calculation:
DFT formation energy: -371 meV per atom
V: 18.712 A^3/atom
Size of the total moment: 0.0000 μB/atom
E above lowest polymorph: 91 meV per atom
Crystal system: orthorhombic


Entry 10:
A plane-wave DFT calculation with GGA-PBE was carried out for a geometry-optimized Dy6Ho2Sc3 structure.

abc: 6.0005 7.7344 7.7512
angles: 107.58 105.04 97.47
With the nearest neighbours (Å) after each atom.
Atoms (fractional coordinates):
Dy: 0.0919 0.3222 0.3610  3 Ho 3.40-3.49, 4 Sc 3.43-3.49, 5 Dy 3.45-3.54
Dy: 0.1822 0.1450 0.7316  3 Sc 3.38-3.40, 3 Ho 3.46-3.55, 6 Dy 3.47-3.54
Dy: 0.2744 0.9526 0.0899  3 Sc 3.44-3.49, 7 Dy 3.44-3.49, 2 Ho 3.47-3.48
Dy: 0.7256 0.0474 0.9101  3 Sc 3.44-3.49, 7 Dy 3.44-3.49, 2 Ho 3.47-3.48
Dy: 0.8178 0.8550 0.2684  3 Sc 3.38-3.40, 3 Ho 3.46-3.55, 6 Dy 3.47-3.54
Dy: 0.9081 0.6778 0.6390  3 Ho 3.40-3.49, 4 Sc 3.43-3.49, 5 Dy 3.45-3.54
Ho: 0.3642 0.7687 0.4535  8 Dy 3.40-3.55, 3 Sc 3.44-3.50, 1 Ho 3.51
Ho: 0.6358 0.2313 0.5465  8 Dy 3.40-3.55, 3 Sc 3.44-3.50, 1 Ho 3.51
Sc: 0.0000 0.5000 0.0000  6 Dy 3.40-3.45, 4 Sc 3.44-3.45, 2 Ho 3.45
Sc: 0.4550 0.5887 0.8231  3 Sc 3.38-3.45, 7 Dy 3.38-3.49, 2 Ho 3.44-3.50
Sc: 0.5450 0.4113 0.1769  3 Sc 3.38-3.45, 7 Dy 3.38-3.49, 2 Ho 3.44-3.50

Values from the calculation:
DFT formation energy: 44 meV per atom
V: 29.326 A^3/atom
Size of the total moment: 0.0000 μB/atom
Crystal system: triclinic


Entry 11:
A plane-wave DFT calculation with GGA-PBE was carried out for a geometry-optimized Cs3RbCd2F9 structure.

abc: 6.6418 6.6418 8.3066
angles: 90.00 90.00 120.00
With the nearest neighbours (Å) after each atom.
Atoms (fractional coordinates):
Cs: 0.0000 0.0000 0.0000  12 F 3.24-3.32
Cs: 0.3333 0.6667 0.6630  12 F 3.34-3.49
Cs: 0.6667 0.3333 0.3370  12 F 3.34-3.49
Rb: 0.0000 0.0000 0.5000  6 F 2.65
Cd: 0.3333 0.6667 0.1480  6 F 2.18-2.28
Cd: 0.6667 0.3333 0.8520  6 F 2.18-2.28
F: 0.0000 0.5000 0.0000  2 Cd 2.28
F: 0.1794 0.3587 0.3006  1 Cd 2.18
F: 0.1794 0.8206 0.3006  1 Cd 2.18
F: 0.3587 0.1794 0.6994  1 Cd 2.18
F: 0.5000 0.0000 0.0000  2 Cd 2.28
F: 0.5000 0.5000 0.0000  2 Cd 2.28
F: 0.6413 0.8206 0.3006  1 Cd 2.18
F: 0.8206 0.1794 0.6994  1 Cd 2.18
F: 0.8206 0.6413 0.6994  1 Cd 2.18

Values from the calculation:
ΔE_f (raw): -2375 meV/atom
V: 21.156 A^3/atom
Size of the total moment: 0.0693 μB/atom
Crystal system: trigonal


Entry 12:
A plane-wave DFT calculation with GGA-PBE was carried out for a geometry-optimized LiCdCuPt2 structure.

abc: 4.6787 4.6787 4.1697
angles: 90.00 90.00 90.00
With the nearest neighbours (Å) after each atom.
Atoms (fractional coordinates):
Li: 0.0000 0.0000 0.0000  2 Cu 2.08
Cd: 0.5000 0.5000 0.0000  8 Pt 3.13, 4 Li 3.31
Cu: 0.0000 0.0000 0.5000  2 Li 2.08
Pt: 0.0000 0.5000 0.5000  2 Cu 2.34
Pt: 0.5000 0.0000 0.5000  2 Cu 2.34

Values from the calculation:
DFT formation energy: 213 meV per atom
V: 18.255 A^3/atom
Size of the total moment: 0.0000 μB/atom
Crystal system: tetragonal


Entry 13:
A plane-wave DFT calculation with GGA-PBE was carried out for a geometry-optimized Pr2Er2Sn2C structure.

abc: 8.9585 8.9585 8.9585
angles: 148.86 148.86 44.62
With the nearest neighbours (Å) after each atom.
Atoms (fractional coordinates):
Pr: 0.1610 0.1610 0.0000  1 C 2.67
Pr: 0.8390 0.8390 0.0000  1 C 2.67
Er: 0.0000 0.5000 0.5000  2 C 2.40
Er: 0.5000 0.0000 0.5000  2 C 2.40
Sn: 0.3653 0.3653 0.0000  4 Er 3.28, 5 Pr 3.39-3.43
Sn: 0.6347 0.6347 0.0000  4 Er 3.28, 5 Pr 3.39-3.43
C: 0.0000 0.0000 0.0000  4 Er 2.40, 2 Pr 2.67

Values from the calculation:
DFT formation energy: -715 meV per atom
V: 27.383 A^3/atom
Size of the total moment: 0.0000 μB/atom
Crystal system: tetragonal